Material: LaPaPd2O8
Method: DFT, GGA-PBE
State: optimized geometry

Cell and atoms, written as POSCAR:
```
LaPaPd2O8
1.0
-3.9184 -3.8248 -0.8273
0.9516 0.2042 -5.4516
5.1716 -2.0761 3.6377
La Pa Pd O
1 1 2 8
Direct
0.7500 0.2500 0.5000 La
0.0000 0.0000 0.0000 Pa
0.5000 0.5000 0.0000 Pd
0.2500 0.7500 0.5000 Pd
0.7104 0.8499 0.0829 O
0.3725 0.2330 0.0829 O
0.6233 0.6980 0.6010 O
0.9778 0.9031 0.6010 O
0.0969 0.3767 0.3990 O
0.3020 0.0222 0.3990 O
0.1501 0.6275 0.9171 O
0.7670 0.2896 0.9171 O
```

Computed properties:
Uncorrected formation energy in meV/atom: -1653
VASP energy in eV/cell: -84.31
Total moment in μB per cell: 2.43
N(E_F) in states/eV/f.u.: 13.03